DFT (PBE+U) results for a relaxed structure of CsMgCr2F8.

POSCAR file:
```
CsMgCr2F8
1.0
5.481 0.000 0.000
-2.740 4.747 0.000
0.000 0.000 7.706
Cs Mg Cr F
1 1 2 8
Direct
0.000 0.000 0.000
0.000 0.000 0.500
0.667 0.333 0.399
0.333 0.667 0.601
0.333 0.667 0.845
0.295 0.346 0.380
0.654 0.949 0.380
0.667 0.333 0.155
0.346 0.051 0.620
0.705 0.654 0.620
0.949 0.295 0.620
0.051 0.705 0.380
```

Output
As for the space group: P-3 (147). The calculation puts the size of the total moment at 7.000 μB/f.u. Its volume is 16.7 A^3/atom. Its total energy is -5.383 eV/atom.